(1)
A relaxed TmTh2Fe crystal. Source: Alexandria via LeMat-Bulk, functional PBE-GGA.

magnetization: 0.000 μB per atom
D(E_F): 4.32 states/eV/f.u.
E_form: -0.059 eV per atom
energy above the most stable polymorph in this dataset: 0.6 kJ per mole of atoms
E: -7.00 eV per atom

a = 3.689 Å, b = 11.582 Å, c = 9.732 Å
α = 90.00°, β = 90.00°, γ = 90.00°
Space group Cmcm (No. 63)
One atom of each set of equivalent atoms:
Tm (0.000, 0.088, 0.250) [4 per cell]
Th (0.000, 0.361, 0.070) [8 per cell]
Fe (0.000, 0.200, 0.750) [4 per cell]

***

(2)
A relaxed TmThFe crystal. Source: Alexandria via LeMat-Bulk, functional PBE-GGA.

magnetization: 0.000 μB per atom
D(E_F): 3.30 states/eV/f.u.
E_form: -0.049 eV per atom
energy above the most stable polymorph in this dataset: 0.0 kJ per mole of atoms
E: -6.83 eV per atom

a = 6.597 Å, b = 3.642 Å, c = 11.806 Å
α = 90.00°, β = 90.00°, γ = 90.00°
Space group Pnma (No. 62)
One atom of each set of equivalent atoms:
Tm (0.001, 0.250, 0.250) [4 per cell]
Th (0.249, 0.750, 0.026) [4 per cell]
Fe (0.248, 0.250, 0.883) [4 per cell]

***

(3)
A relaxed TmThFe crystal. Source: Alexandria via LeMat-Bulk, functional PBE-GGA.

magnetization: 0.000 μB per atom
D(E_F): 3.86 states/eV/f.u.
E_form: 0.141 eV per atom
energy above the most stable polymorph in this dataset: 18.3 kJ per mole of atoms
E: -6.64 eV per atom

a = 10.723 Å, b = 15.876 Å, c = 6.951 Å
α = 90.00°, β = 90.00°, γ = 90.00°
Space group Fdd2 (No. 43)
One atom of each set of equivalent atoms:
Tm (0.116, 0.196, 0.000) [16 per cell]
Th (0.116, 0.412, 0.753) [16 per cell]
Fe (0.119, 0.038, 0.085) [16 per cell]

***

(4)
A relaxed TmThFe4 crystal. Source: Alexandria via LeMat-Bulk, functional PBE-GGA.

magnetization: 1.169 μB per atom
D(E_F): 4.38 states/eV/f.u.
E_form: -0.108 eV per atom
E: -7.73 eV per atom

a = 7.307 Å, b = 7.307 Å, c = 7.307 Å
α = 90.00°, β = 90.00°, γ = 90.00°
Space group F-43m (No. 216)
One atom of each set of equivalent atoms:
Tm (0.000, 0.000, 0.000) [4 per cell]
Th (0.250, 0.250, 0.250) [4 per cell]
Fe (0.125, 0.125, 0.625) [16 per cell]

***

(5)
A relaxed TmThZnFe crystal. Source: Alexandria via LeMat-Bulk, functional PBE-GGA.

magnetization: 0.157 μB per atom
D(E_F): 4.81 states/eV/f.u.
E_form: -0.056 eV per atom
E: -5.46 eV per atom

a = 6.998 Å, b = 6.998 Å, c = 6.998 Å
α = 90.00°, β = 90.00°, γ = 90.00°
Space group F-43m (No. 216)
One atom of each set of equivalent atoms:
Tm (0.000, 0.000, 0.000) [4 per cell]
Th (0.000, 0.000, 0.500) [4 per cell]
Zn (0.250, 0.250, 0.750) [4 per cell]
Fe (0.250, 0.250, 0.250) [4 per cell]

***

(6)
A relaxed ThUFe3 crystal. Source: Alexandria via LeMat-Bulk, functional PBE-GGA.

magnetization: 0.111 μB per atom
D(E_F): 5.98 states/eV/f.u.
E_form: -0.028 eV per atom
energy above the most stable polymorph in this dataset: 1.9 kJ per mole of atoms
E: -8.85 eV per atom

a = 5.202 Å, b = 8.767 Å, c = 7.771 Å
α = 90.00°, β = 90.00°, γ = 90.00°
Space group Imma (No. 74)
One atom of each set of equivalent atoms:
Th (0.000, 0.250, 0.059) [4 per cell]
U (0.000, 0.000, 0.500) [4 per cell]
Fe (0.000, 0.250, 0.698) [4 per cell]
Fe (0.250, 0.018, 0.750) [8 per cell]

***

> magnetization of number 2 (TmThFe)?

0.000 μB per atom